1.
# FeCo6, optimized geometry, DFT PBEsol
data_FeCo6
_chemical_formula_sum 'Fe3 Co18'
_cell_length_a 3.9171
_cell_length_b 3.9171
_cell_length_c 16.7847
_cell_angle_alpha 90.00
_cell_angle_beta 90.00
_cell_angle_gamma 120.00
_symmetry_space_group_name_H-M 'R -3 m'
_symmetry_Int_Tables_number 166
_symmetry_space_group_name_Hall '-R 3 2"'
loop_
_atom_site_label
_atom_site_fract_x
_atom_site_fract_y
_atom_site_fract_z
Fe1 0.0000 0.0000 0.0000
Co1 0.0000 0.0000 0.1424
Co2 0.0000 0.0000 0.2863
Co3 0.0000 0.0000 0.4299
# - Calculated total energy: -164.3 eV for the cell shown
# - Total moment: 38.538 Bohr magnetons per cell
# - Offset from the most stable computed form: 6 meV/atom

***

2.
# Fe5Co3, optimized geometry, DFT PBEsol
data_Fe5Co3
_chemical_formula_sum 'Fe10 Co6'
_cell_length_a 4.8438
_cell_length_b 15.8024
_cell_length_c 2.4244
_cell_angle_alpha 90.00
_cell_angle_beta 109.84
_cell_angle_gamma 90.00
_symmetry_space_group_name_H-M 'C 1 2/m 1'
_symmetry_Int_Tables_number 12
_symmetry_space_group_name_Hall '-C 2y'
loop_
_atom_site_label
_atom_site_fract_x
_atom_site_fract_y
_atom_site_fract_z
Fe1 0.0000 0.0000 0.0000
Fe2 0.2501 0.1254 0.5007
Co1 0.0000 0.2500 0.0000
Co2 0.0000 0.5000 0.0000
# - Calculated total energy: -135.7 eV for the cell shown
# - Total moment: 35.614 Bohr magnetons per cell
# - Offset from the most stable computed form: 38 meV/atom

***

no.,E_form (meV per atom),Fermi-level density of states (states/eV per cell)
1,88,27.423
2,25,11.722